No. 1
First-principles (PBE) data for a relaxed structure of Tb4Pr2Tm, as listed in Alexandria.

Properties
The value obtained for the total energy is -4.63 eV/atom. For the density, the calculation gives 7.75 g/cm³.

```
data_Tb4Pr2Tm
_cell_length_a 6.814
_cell_length_b 9.673
_cell_length_c 8.546
_cell_angle_alpha 118.93
_cell_angle_beta 102.91
_cell_angle_gamma 95.85
_symmetry_space_group_name_H-M 'P 1'
_symmetry_Int_Tables_number 1
loop_
_symmetry_equiv_pos_as_xyz
'x,y,z'
loop_
_atom_site_label
_atom_site_type_symbol
_atom_site_fract_x
_atom_site_fract_y
_atom_site_fract_z
Tb1 Tb 0.862 0.262 0.867
Tb2 Tb 0.294 0.405 0.288
Tb3 Tb 0.531 0.096 0.027
Tb4 Tb 0.098 0.952 0.606
Tb5 Tb 0.388 0.380 0.889
Tb6 Tb 0.582 0.834 0.578
Tb7 Tb 0.675 0.808 0.170
Tb8 Tb 0.720 0.549 0.720
Pr1 Pr 0.245 0.669 0.743
Pr2 Pr 0.147 0.690 0.152
Pr3 Pr 0.958 0.238 0.455
Pr4 Pr 0.435 0.118 0.435
Tm1 Tm 0.811 0.523 0.315
Tm2 Tm 0.004 0.977 0.004
```

---

No. 2
First-principles (PBE) data for a relaxed structure of K3ScBi2O6, as listed in Alexandria.

Properties
The value obtained for the uncorrected formation energy is -2067 kJ/mol of formula units. The value obtained for the total energy is -5.71 eV/atom. For the density, the calculation gives 5.63 g/cm³.

```
data_K3ScBi2O6
_cell_length_a 6.074
_cell_length_b 6.074
_cell_length_c 6.562
_cell_angle_alpha 98.89
_cell_angle_beta 98.89
_cell_angle_gamma 120.01
_symmetry_space_group_name_H-M 'P 1'
_symmetry_Int_Tables_number 1
loop_
_symmetry_equiv_pos_as_xyz
'x,y,z'
loop_
_atom_site_label
_atom_site_type_symbol
_atom_site_fract_x
_atom_site_fract_y
_atom_site_fract_z
O1 O 0.369 0.064 0.192
O2 O 0.759 0.759 0.191
O3 O 0.936 0.631 0.808
O4 O 0.631 0.936 0.808
O5 O 0.241 0.241 0.809
O6 O 0.064 0.369 0.192
Sc1 Sc 0.000 0.000 0.000
K1 K 0.500 0.500 0.500
K2 K 0.834 0.166 0.500
K3 K 0.166 0.834 0.500
Bi1 Bi 0.667 0.333 0.000
Bi2 Bi 0.333 0.667 0.000
```

---

No. 3
First-principles (PBE) data for a relaxed structure of YSnF2, as listed in Alexandria.

Properties
The value obtained for the uncorrected formation energy is -848 kJ/mol of formula units. The value obtained for the total energy is -5.75 eV/atom. For the density, the calculation gives 4.30 g/cm³.

```
data_YSnF2
_cell_length_a 10.084
_cell_length_b 10.084
_cell_length_c 10.084
_cell_angle_alpha 18.99
_cell_angle_beta 18.99
_cell_angle_gamma 18.99
_symmetry_space_group_name_H-M 'P 1'
_symmetry_Int_Tables_number 1
loop_
_symmetry_equiv_pos_as_xyz
'x,y,z'
loop_
_atom_site_label
_atom_site_type_symbol
_atom_site_fract_x
_atom_site_fract_y
_atom_site_fract_z
F1 F 0.123 0.123 0.123
F2 F 0.877 0.877 0.877
Y1 Y 0.500 0.500 0.500
Sn1 Sn 0.000 0.000 0.000
```

---

No. 4
First-principles (PBE) data for a relaxed structure of CaNdMg, as listed in Alexandria.

Properties
The value obtained for the total energy is -2.51 eV/atom. For the density, the calculation gives 3.01 g/cm³.

```
data_CaNdMg
_cell_length_a 5.403
_cell_length_b 5.403
_cell_length_c 7.889
_cell_angle_alpha 90.00
_cell_angle_beta 90.00
_cell_angle_gamma 90.00
_symmetry_space_group_name_H-M 'P 1'
_symmetry_Int_Tables_number 1
loop_
_symmetry_equiv_pos_as_xyz
'x,y,z'
loop_
_atom_site_label
_atom_site_type_symbol
_atom_site_fract_x
_atom_site_fract_y
_atom_site_fract_z
Nd1 Nd 0.000 0.000 0.000
Nd2 Nd 0.500 0.500 0.000
Ca1 Ca 0.500 0.500 0.500
Ca2 Ca 0.000 0.000 0.500
Mg1 Mg 0.500 0.000 0.758
Mg2 Mg 0.000 0.500 0.242
```

---

No. 5
First-principles (PBE) data for a relaxed structure of KMgRu2, as listed in Alexandria.

Properties
The value obtained for the total energy is -4.57 eV/atom. For the density, the calculation gives 4.95 g/cm³.

```
data_KMgRu2
_cell_length_a 4.711
_cell_length_b 2.783
_cell_length_c 6.861
_cell_angle_alpha 81.92
_cell_angle_beta 90.00
_cell_angle_gamma 90.00
_symmetry_space_group_name_H-M 'P 1'
_symmetry_Int_Tables_number 1
loop_
_symmetry_equiv_pos_as_xyz
'x,y,z'
loop_
_atom_site_label
_atom_site_type_symbol
_atom_site_fract_x
_atom_site_fract_y
_atom_site_fract_z
K1 K 0.500 0.250 0.250
Mg1 Mg 0.500 0.750 0.750
Ru1 Ru 0.000 0.531 0.596
Ru2 Ru 0.000 0.969 0.904
```

---

No. 6
First-principles (PBE) data for a relaxed structure of LiAc3Pr4S8, as listed in Alexandria.

Properties
The value obtained for the uncorrected formation energy is -3001 kJ/mol of formula units. The value obtained for the total energy is -6.09 eV/atom. For the density, the calculation gives 6.10 g/cm³.

```
data_LiAc3Pr4S8
_cell_length_a 8.307
_cell_length_b 8.379
_cell_length_c 8.307
_cell_angle_alpha 119.72
_cell_angle_beta 120.00
_cell_angle_gamma 90.00
_symmetry_space_group_name_H-M 'P 1'
_symmetry_Int_Tables_number 1
loop_
_symmetry_equiv_pos_as_xyz
'x,y,z'
loop_
_atom_site_label
_atom_site_type_symbol
_atom_site_fract_x
_atom_site_fract_y
_atom_site_fract_z
S1 S 0.246 0.238 0.492
S2 S 0.246 0.753 0.491
S3 S 0.754 0.247 0.509
S4 S 0.246 0.753 0.008
S5 S 0.754 0.762 0.508
S6 S 0.762 0.753 0.008
S7 S 0.754 0.247 0.992
S8 S 0.238 0.247 0.992
Pr1 Pr 0.000 0.000 0.000
Pr2 Pr 0.000 0.000 0.500
Pr3 Pr 0.500 0.000 0.500
Pr4 Pr 0.500 0.000 0.000
Ac1 Ac 0.500 0.500 0.500
Ac2 Ac 0.500 0.500 0.000
Ac3 Ac 0.000 0.500 0.500
Li1 Li 0.000 0.500 0.000
```

---

No. 7
First-principles (PBE) data for a relaxed structure of BaSbPt2, as listed in Alexandria.

Properties
The value obtained for the uncorrected formation energy is -242 kJ/mol of formula units. The value obtained for the total energy is -5.16 eV/atom. For the density, the calculation gives 10.48 g/cm³.

```
data_BaSbPt2
_cell_length_a 4.582
_cell_length_b 6.565
_cell_length_c 7.301
_cell_angle_alpha 90.00
_cell_angle_beta 90.00
_cell_angle_gamma 110.43
_symmetry_space_group_name_H-M 'P 1'
_symmetry_Int_Tables_number 1
loop_
_symmetry_equiv_pos_as_xyz
'x,y,z'
loop_
_atom_site_label
_atom_site_type_symbol
_atom_site_fract_x
_atom_site_fract_y
_atom_site_fract_z
Pt1 Pt 0.334 0.668 0.940
Pt2 Pt 0.666 0.332 0.440
Pt3 Pt 0.666 0.332 0.060
Pt4 Pt 0.334 0.668 0.560
Ba1 Ba 0.939 0.878 0.250
Ba2 Ba 0.061 0.122 0.750
Sb1 Sb 0.219 0.439 0.250
Sb2 Sb 0.781 0.561 0.750
```

---

No. 8
First-principles (PBE) data for a relaxed structure of Tl2CrH, as listed in Alexandria.

Properties
The value obtained for the total energy is -3.41 eV/atom. For the density, the calculation gives 11.10 g/cm³.

```
data_Tl2CrH
_cell_length_a 6.688
_cell_length_b 6.688
_cell_length_c 5.648
_cell_angle_alpha 53.70
_cell_angle_beta 53.70
_cell_angle_gamma 90.00
_symmetry_space_group_name_H-M 'P 1'
_symmetry_Int_Tables_number 1
loop_
_symmetry_equiv_pos_as_xyz
'x,y,z'
loop_
_atom_site_label
_atom_site_type_symbol
_atom_site_fract_x
_atom_site_fract_y
_atom_site_fract_z
Tl1 Tl 0.875 0.815 0.750
Tl2 Tl 0.185 0.625 0.250
Tl3 Tl 0.375 0.435 0.750
Tl4 Tl 0.565 0.125 0.250
Cr1 Cr 0.000 0.000 0.000
Cr2 Cr 0.750 0.250 0.500
H1 H 0.250 0.750 0.500
H2 H 0.500 0.500 0.000
```

---

No. 9
First-principles (PBE) data for a relaxed structure of InSe2S6, as listed in Alexandria.

Properties
The value obtained for the uncorrected formation energy is 79 kJ/mol of formula units. The value obtained for the total energy is -3.74 eV/atom. For the density, the calculation gives 2.54 g/cm³.

```
data_InSe2S6
_cell_length_a 12.225
_cell_length_b 5.140
_cell_length_c 12.225
_cell_angle_alpha 62.79
_cell_angle_beta 77.21
_cell_angle_gamma 62.79
_symmetry_space_group_name_H-M 'P 1'
_symmetry_Int_Tables_number 1
loop_
_symmetry_equiv_pos_as_xyz
'x,y,z'
loop_
_atom_site_label
_atom_site_type_symbol
_atom_site_fract_x
_atom_site_fract_y
_atom_site_fract_z
S1 S 0.634 0.593 0.998
S2 S 0.245 0.884 0.946
S3 S 0.683 0.013 0.423
S4 S 0.002 0.907 0.366
S5 S 0.998 0.093 0.634
S6 S 0.054 0.616 0.755
S7 S 0.423 0.513 0.683
S8 S 0.946 0.384 0.245
S9 S 0.755 0.116 0.054
S10 S 0.366 0.407 0.002
S11 S 0.317 0.987 0.577
S12 S 0.577 0.487 0.317
Se1 Se 0.911 0.387 0.735
Se2 Se 0.265 0.113 0.089
Se3 Se 0.089 0.613 0.265
Se4 Se 0.735 0.887 0.911
In1 In 0.717 0.750 0.283
In2 In 0.283 0.250 0.717
```

---

No. 10
First-principles (PBE) data for a relaxed structure of K2RbAlSb, as listed in Alexandria.

Properties
The value obtained for the uncorrected formation energy is 246 kJ/mol of formula units. The value obtained for the total energy is -1.70 eV/atom. For the density, the calculation gives 1.94 g/cm³.

```
data_K2RbAlSb
_cell_length_a 6.388
_cell_length_b 6.388
_cell_length_c 6.545
_cell_angle_alpha 90.00
_cell_angle_beta 90.00
_cell_angle_gamma 90.00
_symmetry_space_group_name_H-M 'P 1'
_symmetry_Int_Tables_number 1
loop_
_symmetry_equiv_pos_as_xyz
'x,y,z'
loop_
_atom_site_label
_atom_site_type_symbol
_atom_site_fract_x
_atom_site_fract_y
_atom_site_fract_z
K1 K 0.000 0.500 0.000
K2 K 0.500 0.000 0.000
Sb1 Sb 0.500 0.500 0.500
Al1 Al 0.000 0.000 0.000
Rb1 Rb 0.000 0.000 0.500
```

---

No. 11
First-principles (PBE) data for a relaxed structure of AcMg3Cd9, as listed in Alexandria.

Properties
The value obtained for the total energy is -1.50 eV/atom. For the density, the calculation gives 7.14 g/cm³.

```
data_AcMg3Cd9
_cell_length_a 6.061
_cell_length_b 7.698
_cell_length_c 7.725
_cell_angle_alpha 81.15
_cell_angle_beta 66.90
_cell_angle_gamma 66.91
_symmetry_space_group_name_H-M 'P 1'
_symmetry_Int_Tables_number 1
loop_
_symmetry_equiv_pos_as_xyz
'x,y,z'
loop_
_atom_site_label
_atom_site_type_symbol
_atom_site_fract_x
_atom_site_fract_y
_atom_site_fract_z
Ac1 Ac 0.000 0.000 0.000
Cd1 Cd 0.287 0.217 0.219
Cd2 Cd 0.998 0.349 0.647
Cd3 Cd 0.494 0.783 0.219
Cd4 Cd 0.000 0.500 0.000
Cd5 Cd 0.645 0.349 0.353
Cd6 Cd 0.713 0.783 0.781
Cd7 Cd 0.355 0.651 0.647
Cd8 Cd 0.506 0.217 0.781
Cd9 Cd 0.002 0.651 0.353
Mg1 Mg 0.500 0.000 0.500
Mg2 Mg 0.500 0.500 0.000
Mg3 Mg 0.000 0.000 0.500
```

---

No. 12
First-principles (PBE) data for a relaxed structure of RbTlCl3, as listed in Alexandria.

Properties
The value obtained for the uncorrected formation energy is -501 kJ/mol of formula units. The value obtained for the total energy is -2.81 eV/atom. For the density, the calculation gives 3.41 g/cm³.

```
data_RbTlCl3
_cell_length_a 9.712
_cell_length_b 9.712
_cell_length_c 7.872
_cell_angle_alpha 90.00
_cell_angle_beta 90.00
_cell_angle_gamma 148.64
_symmetry_space_group_name_H-M 'P 1'
_symmetry_Int_Tables_number 1
loop_
_symmetry_equiv_pos_as_xyz
'x,y,z'
loop_
_atom_site_label
_atom_site_type_symbol
_atom_site_fract_x
_atom_site_fract_y
_atom_site_fract_z
Rb1 Rb 0.551 0.449 0.750
Rb2 Rb 0.449 0.551 0.250
Cl1 Cl 0.455 0.038 0.750
Cl2 Cl 0.000 0.000 0.500
Cl3 Cl 0.038 0.455 0.250
Cl4 Cl 0.545 0.962 0.250
Cl5 Cl 0.962 0.545 0.750
Cl6 Cl 0.000 0.000 0.000
Tl1 Tl 0.148 0.852 0.250
Tl2 Tl 0.852 0.148 0.750
```